# 1
The following is a meta-GGA SCAN calculation of BaAuBr2 at its PBEsol-relaxed geometry, from Alexandria via LeMat-Bulk.

Values from the calculation:
ΔE_f (raw) = -1229 meV/atom
Distance to the lowest polymorph of the same formula = 0 meV/atom
D(E_F) = 2.4 states/eV/f.u.
Total energy = -152.54 eV for the cell shown
Density = 7298 kg/m3
Symmetry = Immm

Cell and atoms, written as extended XYZ:
```
4
Lattice="-2.5582 2.8573 3.8452 2.5582 -2.8573 3.8452 2.5582 2.8573 -3.8452" Properties=species:S:1:pos:R:3 pbc="T T T"
Ba 0.0000 0.0000 0.0000
Au 0.0000 0.0000 3.8452
Br 2.5582 0.0000 2.1288
Br 0.0000 2.8573 1.7164
```


# 2
The following is a meta-GGA SCAN calculation of Ba2AuBr at its PBEsol-relaxed geometry, from Alexandria via LeMat-Bulk.

Values from the calculation:
ΔE_f (raw) = -1393 meV/atom
Distance to the lowest polymorph of the same formula = 0 meV/atom
D(E_F) = 1.2 states/eV/f.u.
Total energy = -173.29 eV for the cell shown
Density = 6124 kg/m3
Symmetry = R-3m

Cell and atoms, written as extended XYZ:
```
4
Lattice="2.2787 1.3156 8.3139 -2.2787 1.3156 8.3139 0.0000 -2.6312 8.3139" Properties=species:S:1:pos:R:3 pbc="T T T"
Ba 0.0000 0.0000 6.0070
Ba 0.0000 0.0000 18.9349
Au 0.0000 0.0000 12.4709
Br 0.0000 0.0000 0.0000
```


# 3
The following is a meta-GGA SCAN calculation of Ba3AuBr at its PBEsol-relaxed geometry, from Alexandria via LeMat-Bulk.

Values from the calculation:
ΔE_f (raw) = -487 meV/atom
D(E_F) = 5.7 states/eV/f.u.
Total energy = -209.70 eV for the cell shown
Density = 5199 kg/m3
Symmetry = Pm-3m

Cell and atoms, written as extended XYZ:
```
5
Lattice="6.0370 0.0000 0.0000 0.0000 6.0370 0.0000 0.0000 0.0000 6.0370" Properties=species:S:1:pos:R:3 pbc="T T T"
Ba 0.0000 0.0000 3.0185
Ba 0.0000 3.0185 0.0000
Ba 3.0185 0.0000 0.0000
Au 3.0185 3.0185 3.0185
Br 0.0000 0.0000 0.0000
```